#1
Here is crystalline Ta2NbMoW at its relaxed geometry from the Alexandria database. Energies are from PBE.

```
5
Lattice="4.851 0.000 0.000 0.000 4.659 0.000 0.000 0.000 4.851" Properties=species:S:1:pos:R:3 pbc="T T T"
Nb 2.425 2.330 2.425
W 0.000 0.000 0.000
Ta 2.425 0.000 0.000
Ta 0.000 0.000 2.425
Mo 0.000 2.330 0.000
```

Symmetry ... P4/mmm

#2
Here is crystalline Ta2NbMoW at its relaxed geometry from the Alexandria database. Energies are from PBE.

```
10
Lattice="2.688 0.000 0.000 0.000 7.252 -0.020 0.000 -3.843 9.173" Properties=species:S:1:pos:R:3 pbc="T T T"
Ta 2.016 1.053 8.731
Mo 0.672 4.486 2.287
Nb 2.016 -0.218 1.410
Ta 2.016 1.592 5.909
W 2.016 -0.688 4.167
Mo 2.016 -1.077 6.866
W 0.672 4.097 4.986
Ta 0.672 1.817 3.244
Ta 0.672 2.356 0.422
Nb 0.672 3.627 7.743
```

Symmetry ... P2_1/m

#2 wins, 1.284 eV/atom ahead of the next structure.

#1
Here is crystalline NbTcMo3 at its relaxed geometry from the Alexandria database. Energies are from PBE.

```
5
Lattice="-1.546 4.316 0.748 -2.733 -0.331 -3.741 -3.423 -1.685 2.649" Properties=species:S:1:pos:R:3 pbc="T T T"
Mo -0.773 2.158 0.374
Mo -1.711 -0.842 1.324
Mo -1.366 -0.165 -1.871
Nb -3.851 1.150 -0.172
Tc 0.000 0.000 0.000
```

Symmetry ... Pm-3m

#2
Here is crystalline NbTcMo3 at its relaxed geometry from the Alexandria database. Energies are from PBE.

```
5
Lattice="-0.218 4.171 -2.073 1.768 -1.846 -3.900 -4.309 -0.968 -1.495" Properties=species:S:1:pos:R:3 pbc="T T T"
Mo 0.884 -0.923 -1.950
Mo -2.155 -0.484 -0.748
Mo -0.109 2.086 -1.037
Nb 0.000 0.000 0.000
Tc -1.379 0.678 -3.734
```

Symmetry ... Pm-3m

#1 wins, 0.604 eV/atom ahead of the next structure.

#1
Here is crystalline NbTcMo2 at its relaxed geometry from the Alexandria database. Energies are from PBE.

```
4
Lattice="3.036 0.000 -0.945 -0.572 4.036 -1.839 -0.019 -0.073 5.289" Properties=species:S:1:pos:R:3 pbc="T T T"
Mo 0.605 0.970 1.944
Nb -0.286 2.018 -0.919
Tc 1.518 0.000 -0.473
Mo 1.840 2.993 0.561
```

Symmetry ... Immm

#2
Here is crystalline NbTcMo2 at its relaxed geometry from the Alexandria database. Energies are from PBE.

```
4
Lattice="-2.287 0.886 -2.027 -2.333 -3.701 1.014 -2.075 2.214 3.310" Properties=species:S:1:pos:R:3 pbc="T T T"
Nb -1.143 0.443 -1.013
Mo -1.166 -1.851 0.507
Mo -1.038 1.107 1.655
Tc -3.347 -0.300 1.148
```

Symmetry ... P4/mmm

#1 wins, 0.039 eV/atom ahead of the next structure.

#1
Here is crystalline NbTcMo2 at its relaxed geometry from the Alexandria database. Energies are from PBE.

```
4
Lattice="-4.233 1.498 -0.059 -3.313 -2.568 1.612 -2.041 1.118 3.841" Properties=species:S:1:pos:R:3 pbc="T T T"
Mo -7.190 0.036 4.046
Tc 0.000 0.000 0.000
Mo -2.397 0.012 1.349
Nb -4.793 0.024 2.697
```

Symmetry ... Fm-3m

#2
Here is crystalline NbTcMo2 at its relaxed geometry from the Alexandria database. Energies are from PBE.

```
8
Lattice="-4.258 2.833 5.136 -5.535 0.160 -4.677 -5.603 -0.931 0.983" Properties=species:S:1:pos:R:3 pbc="T T T"
Nb -8.018 0.363 -1.733
Mo -12.880 1.924 1.048
Mo -7.767 0.421 1.000
Tc 0.000 0.000 0.000
Nb -4.897 1.496 0.230
Mo -4.837 1.613 2.971
Mo -5.310 0.166 -2.136
Tc -7.379 1.699 3.174
```

Symmetry ... I-42d

#3
Here is crystalline NbTcMo2 at its relaxed geometry from the Alexandria database. Energies are from PBE.

```
4
Lattice="4.661 -1.760 -3.075 -1.341 4.798 3.075 -3.110 0.065 4.960" Properties=species:S:1:pos:R:3 pbc="T T T"
Mo -3.260 3.562 5.886
Mo -1.190 1.301 2.149
Nb 0.000 0.000 0.000
Tc -2.225 2.432 4.018
```

Symmetry ... Immm

#1 wins, 0.666 eV/atom ahead of the next structure.